# NiOsRu3 | Alexandria via LeMat-Bulk | PBE-GGA | optimized geometry
# crystal system: cubic
# calculated formation energy: 1.960 eV per atom
data_NiOsRu3
_cell_length_a 4.653
_cell_length_b 4.653
_cell_length_c 4.653
_cell_angle_alpha 90.00
_cell_angle_beta 90.00
_cell_angle_gamma 90.00
_symmetry_space_group_name_H-M 'P m -3 m'
_symmetry_Int_Tables_number 221
_symmetry_space_group_name_Hall '-P 4 2 3'
loop_
_atom_site_label
_atom_site_type_symbol
_atom_site_fract_x
_atom_site_fract_y
_atom_site_fract_z
_atom_site_occupancy
Ni1 Ni 0.000 0.000 0.000 1
Os1 Os 0.500 0.500 0.500 1
Ru1 Ru 0.000 0.500 0.500 1

---

# BaPrTe | Alexandria via LeMat-Bulk | PBE-GGA | optimized geometry
# crystal system: tetragonal
# raw formation energy: -2.90 eV/f.u.
data_BaPrTe
_cell_length_a 4.869
_cell_length_b 4.869
_cell_length_c 9.552
_cell_angle_alpha 90.00
_cell_angle_beta 90.00
_cell_angle_gamma 90.00
_symmetry_space_group_name_H-M 'P 4/n m m'
_symmetry_Int_Tables_number 129
loop_
_symmetry_equiv_pos_as_xyz
'x,y,z'
'-x,-y,-z'
'-y+1/2,x,z'
'y+1/2,-x,-z'
'-x+1/2,-y+1/2,z'
'x+1/2,y+1/2,-z'
'y,-x+1/2,z'
'-y,x+1/2,-z'
'x+1/2,-y,-z'
'-x+1/2,y,z'
'-y,-x,-z'
'y,x,z'
'-x,y+1/2,-z'
'x,-y+1/2,z'
'y+1/2,x+1/2,-z'
'-y+1/2,-x+1/2,z'
loop_
_atom_site_label
_atom_site_type_symbol
_atom_site_fract_x
_atom_site_fract_y
_atom_site_fract_z
_atom_site_occupancy
Ba1 Ba 0.250 0.250 0.145 1
Pr1 Pr 0.250 0.750 0.500 1
Te1 Te 0.250 0.250 0.752 1

---

# CoOs2Ru | Alexandria via LeMat-Bulk | PBE-GGA | optimized geometry
# crystal system: orthorhombic
# calculated formation energy: 0.141 eV per atom
data_CoOs2Ru
_cell_length_a 2.684
_cell_length_b 3.769
_cell_length_c 5.286
_cell_angle_alpha 90.00
_cell_angle_beta 90.00
_cell_angle_gamma 90.00
_symmetry_space_group_name_H-M 'P m m 2'
_symmetry_Int_Tables_number 25
_symmetry_space_group_name_Hall 'P 2 -2'
loop_
_atom_site_label
_atom_site_type_symbol
_atom_site_fract_x
_atom_site_fract_y
_atom_site_fract_z
_atom_site_occupancy
Co1 Co 0.000 0.000 0.000 1
Os1 Os 0.000 0.000 0.498 1
Os2 Os 0.500 0.500 0.240 1
Ru1 Ru 0.500 0.500 0.756 1

---

Values of calculated total energy, in order: -7.008 -4.248 -9.569, all in eV per atom.